1.
A plane-wave DFT calculation with GGA-PBE was carried out for a geometry-optimized NaSr2Ca2 structure.

Output
energy = -1.6776 eV/atom
magnetic moment = 0.00 μB/cell
polymorph energy (0 for the lowest one) = 44 meV per atom
formation enthalpy at 0 K = 0.06 eV per atom
volume = 46.420 A^3/atom

The structure in CIF format:
```
data_NaSr2Ca2
_chemical_formula_sum 'Na4 Sr8 Ca8'
_cell_length_a 7.7466
_cell_length_b 17.5471
_cell_length_c 6.8299
_cell_angle_alpha 90.00
_cell_angle_beta 90.00
_cell_angle_gamma 90.00
_space_group_name_H-M_alt 'I b a m'
_space_group_IT_number 72
_space_group_name_Hall '-I 2 2c'
loop_
_atom_site_label
_atom_site_type_symbol
_atom_site_fract_x
_atom_site_fract_y
_atom_site_fract_z
Na1 Na 0.0000 0.0000 0.2500
Sr1 Sr 0.1612 0.1857 0.0000
Ca1 Ca 0.1364 0.4153 0.0000
```

***

2.
A plane-wave DFT calculation with GGA-PBE was carried out for a geometry-optimized Dy2GePd structure.

Output
energy = -5.6469 eV/atom
magnetic moment = 0.00 μB/cell
formation enthalpy at 0 K = -0.89 eV per atom
volume = 23.065 A^3/atom

The structure in CIF format:
```
data_Dy2GePd
_chemical_formula_sum 'Dy4 Ge2 Pd2'
_cell_length_a 5.8427
_cell_length_b 4.3217
_cell_length_c 7.7926
_cell_angle_alpha 90.00
_cell_angle_beta 110.32
_cell_angle_gamma 90.00
_space_group_name_H-M_alt 'P 1 21/m 1'
_space_group_IT_number 11
loop_
_space_group_symop_operation_xyz
'x,y,z'
'-x,-y,-z'
'-x,y+1/2,-z'
'x,-y+1/2,z'
loop_
_atom_site_label
_atom_site_type_symbol
_atom_site_fract_x
_atom_site_fract_y
_atom_site_fract_z
Dy1 Dy 0.2195 0.2500 0.4390
Dy2 Dy 0.2231 0.2500 0.9168
Ge1 Ge 0.3246 0.7500 0.2057
Pd1 Pd 0.3515 0.7500 0.7110
```

***

3.
A plane-wave DFT calculation with GGA-PBE was carried out for a geometry-optimized BaTl5 structure.

Output
energy = -2.4507 eV/atom
magnetic moment = 0.00 μB/cell
polymorph energy (0 for the lowest one) = 40 meV per atom
formation enthalpy at 0 K = -0.16 eV per atom
volume = 33.082 A^3/atom

The structure in CIF format:
```
data_BaTl5
_chemical_formula_sum 'Ba1 Tl5'
_cell_length_a 6.2848
_cell_length_b 6.2848
_cell_length_c 5.8027
_cell_angle_alpha 90.00
_cell_angle_beta 90.00
_cell_angle_gamma 120.00
_space_group_name_H-M_alt 'P -6 2 m'
_space_group_IT_number 189
_space_group_name_Hall 'P -6 -2'
loop_
_atom_site_label
_atom_site_type_symbol
_atom_site_fract_x
_atom_site_fract_y
_atom_site_fract_z
Ba1 Ba 0.0000 0.0000 0.0000
Tl1 Tl 0.0000 0.6247 0.5000
Tl2 Tl 0.3333 0.6667 0.0000
```

***

4.
A plane-wave DFT calculation with GGA-PBE was carried out for a geometry-optimized LiGaSi structure.

Output
raw formation energy = -0.9 kcal/mol of atoms
energy = -3.4951 eV/atom
magnetic moment = 0.00 μB/cell
volume = 17.138 A^3/atom

The structure in CIF format:
```
data_LiGaSi
_chemical_formula_sum 'Li2 Ga2 Si2'
_cell_length_a 3.8878
_cell_length_b 5.0954
_cell_length_c 5.9461
_cell_angle_alpha 75.68
_cell_angle_beta 72.22
_cell_angle_gamma 68.02
_space_group_name_H-M_alt 'P 1'
_space_group_IT_number 1
loop_
_space_group_symop_operation_xyz
'x,y,z'
loop_
_atom_site_label
_atom_site_type_symbol
_atom_site_fract_x
_atom_site_fract_y
_atom_site_fract_z
Li1 Li 0.0000 0.0000 0.0000
Li2 Li 0.2640 0.0666 0.3980
Ga1 Ga 0.4126 0.4276 0.7325
Ga2 Ga 0.6691 0.5236 0.1354
Si1 Si 0.6899 0.8725 0.7363
Si2 Si 0.9840 0.6323 0.4018
```

***

5.
A plane-wave DFT calculation with GGA-PBE was carried out for a geometry-optimized Yb3GeO structure.

Output
raw formation energy = -40.4 kcal/mol of atoms
energy = -4.5831 eV/atom
magnetic moment = 0.00 μB/cell
volume = 20.167 A^3/atom

The structure in CIF format:
```
data_Yb3GeO
_chemical_formula_sum 'Yb12 Ge4 O4'
_cell_length_a 6.5748
_cell_length_b 9.2953
_cell_length_c 6.5999
_cell_angle_alpha 90.00
_cell_angle_beta 90.00
_cell_angle_gamma 90.00
_space_group_name_H-M_alt 'I m m a'
_space_group_IT_number 74
_space_group_name_Hall '-I 2b 2'
loop_
_atom_site_label
_atom_site_type_symbol
_atom_site_fract_x
_atom_site_fract_y
_atom_site_fract_z
Yb1 Yb 0.0000 0.2500 0.0378
Yb2 Yb 0.2500 0.0193 0.7500
Ge1 Ge 0.0000 0.2500 0.5008
O1 O 0.0000 0.0000 0.0000
```

***

6.
A plane-wave DFT calculation with GGA-PBE was carried out for a geometry-optimized ScCrH3 structure.

Output
energy = -4.7519 eV/atom
magnetic moment = 0.00 μB/cell
volume = 8.957 A^3/atom

The structure in CIF format:
```
data_ScCrH3
_chemical_formula_sum 'Sc1 Cr1 H3'
_cell_length_a 3.5512
_cell_length_b 3.5512
_cell_length_c 3.5512
_cell_angle_alpha 90.00
_cell_angle_beta 90.00
_cell_angle_gamma 90.00
_space_group_name_H-M_alt 'P m -3 m'
_space_group_IT_number 221
_space_group_name_Hall '-P 4 2 3'
loop_
_atom_site_label
_atom_site_type_symbol
_atom_site_fract_x
_atom_site_fract_y
_atom_site_fract_z
Sc1 Sc 0.0000 0.0000 0.0000
Cr1 Cr 0.5000 0.5000 0.5000
H1 H 0.0000 0.0000 0.5000
```